Entry 1:
First-principles (PBE) data for an optimized crystal structure of CsHgSbSe3, as listed in the Alexandria database.

It has space group P2_1/m (No. 11), with a = 9.6698 Å, b = 4.3420 Å, c = 10.7389 Å, α = 90.00°, β = 107.49° and γ = 90.00°. The asymmetric unit holds Cs at (0.1975, 0.2500, 0.2436), Hg at (0.0985, 0.2500, 0.6215), Sb at (0.3403, 0.7500, 0.8774), Se at (0.1421, 0.2500, 0.8818), Se at (0.2021, 0.7500, 0.5263) and Se at (0.4497, 0.7500, 0.1325).

The value obtained for the formation energy (no corrections) is -0.54 eV/atom.


Entry 2:
First-principles (PBE) data for an optimized crystal structure of YBAs3, as listed in the Alexandria database.

It has space group Pm-3m (No. 221), with a = 5.4070 Å, b = 5.4070 Å, c = 5.4070 Å, α = 90.00°, β = 90.00° and γ = 90.00°. The asymmetric unit holds Y at (0.0000, 0.0000, 0.0000), B at (0.5000, 0.5000, 0.5000) and As at (0.0000, 0.0000, 0.5000).

Its energy of formation is 1.343 eV per atom.


Entry 3:
First-principles (PBE) data for an optimized crystal structure of Nd4Er2Sc, as listed in the Alexandria database.

It has space group Imma (No. 74), with a = 6.8003 Å, b = 11.4319 Å, c = 11.8687 Å, α = 90.00°, β = 90.00° and γ = 90.00°. The asymmetric unit holds Nd at (0.0000, 0.0085, 0.1552), Nd at (0.2229, 0.2500, 0.9944), Er at (0.0000, 0.0000, 0.5000), Er at (0.0000, 0.2500, 0.7175) and Sc at (0.2500, 0.2500, 0.2500).

Its energy of formation is 0.247 eV per atom.


Entry 4:
First-principles (PBE) data for an optimized crystal structure of RbCuICl, as listed in the Alexandria database.

It has space group Cm (No. 8), with a = 7.8284 Å, b = 4.5279 Å, c = 7.5278 Å, α = 90.00°, β = 90.14° and γ = 90.00°. The asymmetric unit holds Rb at (0.0000, 0.0000, 0.0000), Cu at (0.1630, 0.5000, 0.5325), I at (0.3312, 0.0000, 0.6357) and Cl at (0.1668, 0.5000, 0.2274).

The value obtained for the formation energy (no corrections) is -0.96 eV/atom.


Entry 5:
First-principles (PBE) data for an optimized crystal structure of LiMg, as listed in the Alexandria database.

It has space group Amm2 (No. 38), with a = 5.0057 Å, b = 9.1583 Å, c = 5.4820 Å, α = 90.00°, β = 90.00° and γ = 90.00°. The asymmetric unit holds Li at (0.0000, 0.0000, 0.0000), Li at (0.5000, 0.1654, 0.1847), Mg at (0.0000, 0.1698, 0.4955) and Mg at (0.5000, 0.0000, 0.6883).

Its energy of formation is -0.035 eV per atom.


Entry 6:
First-principles (PBE) data for an optimized crystal structure of La2CuSiC, as listed in the Alexandria database.

It has space group P4/mmm (No. 123), with a = 5.3251 Å, b = 5.3251 Å, c = 3.7877 Å, α = 90.00°, β = 90.00° and γ = 90.00°. The asymmetric unit holds La at (0.0000, 0.5000, 0.0000), Cu at (0.0000, 0.0000, 0.5000), Si at (0.5000, 0.5000, 0.5000) and C at (0.0000, 0.0000, 0.0000).

The value obtained for the formation energy (no corrections) is -0.21 eV/atom.